Material: TaCuSiNi
Method: DFT, PBE-GGA
State: optimized geometry

Geometry as POSCAR:
```
TaCuSiNi
1.0
0.000 3.002 3.002
3.002 0.000 3.002
3.002 3.002 0.000
Cu Ni Si Ta
1 1 1 1
direct
0.750 0.750 0.750
0.500 0.500 0.500
0.000 0.000 0.000
0.250 0.250 0.250
```

Calculated values
- ρ (g/cm3) = 10.17
- calculated total energy (eV per atom) = -6.75